The following is a DFT calculation (GGA-PBE) of a relaxed Ti4TlCl8 crystal.

abc: 3.260 9.362 11.235
angles: 71.90 81.66 79.97
Each line ends with the local moment (μB).
Element x y z (fractional)
1 Cl 0.852 0.690 0.606  0.00
2 Cl 0.167 0.046 0.620  0.00
3 Cl 0.179 0.314 0.327  0.00
4 Cl 0.212 0.701 0.875  0.00
5 Cl 0.600 0.645 0.155  0.00
6 Cl 0.865 0.957 0.313  0.00
7 Cl 0.432 0.358 0.779  0.00
8 Cl 0.820 0.302 0.059  0.00
9 Ti 0.713 0.124 0.450  0.15
10 Ti 0.318 0.879 0.484  0.15
11 Ti 0.816 0.506 0.862  -0.04
12 Ti 0.215 0.497 0.072  -0.04
13 Tl 0.516 0.002 0.967  0.00

Properties
- E_form (uncorrected): -1308 meV per atom
- Calculated volume: 24.57 Å³ per atom
- Total DFT energy (no corrections): -5.06 eV per atom

***

The following is a DFT calculation (GGA-PBE) of a relaxed Ti2Tl2Cl7 crystal.

abc: 7.089 8.139 8.139
angles: 125.68 96.68 96.68
Each line ends with the local moment (μB).
Element x y z (fractional)
1 Cl 0.249 0.439 0.439  0.00
2 Cl 0.000 0.000 0.000  0.00
3 Cl 0.780 0.089 0.388  0.00
4 Cl 0.220 0.911 0.612  0.00
5 Cl 0.780 0.388 0.089  0.00
6 Cl 0.751 0.561 0.561  0.00
7 Cl 0.220 0.612 0.911  0.00
8 Ti 0.087 0.692 0.692  0.39
9 Ti 0.913 0.308 0.308  0.39
10 Tl 0.500 0.697 0.303  0.01
11 Tl 0.500 0.303 0.697  0.01

Properties
- E_form (uncorrected): -1270 meV per atom
- Calculated volume: 33.53 Å³ per atom
- Total DFT energy (no corrections): -4.31 eV per atom

***

The following is a DFT calculation (GGA-PBE) of a relaxed TiTl4Cl6 crystal.

abc: 8.496 8.496 9.385
angles: 90.00 90.00 90.00
Each line ends with the local moment (μB).
Element x y z (fractional)
1 Cl 0.727 0.123 0.500  -0.01
2 Cl 0.273 0.877 0.500  -0.01
3 Cl 0.500 0.500 0.268  -0.01
4 Cl 0.773 0.623 0.000  -0.01
5 Cl 0.500 0.500 0.732  -0.01
6 Cl 0.123 0.273 0.500  -0.01
7 Cl 0.000 0.000 0.232  -0.01
8 Cl 0.227 0.377 0.000  -0.01
9 Cl 0.623 0.227 0.000  -0.01
10 Cl 0.877 0.727 0.500  -0.01
11 Cl 0.000 0.000 0.768  -0.01
12 Cl 0.377 0.773 0.000  -0.01
13 Tl 0.656 0.844 0.250  0.01
14 Tl 0.156 0.656 0.750  0.01
15 Tl 0.844 0.344 0.250  0.01
16 Tl 0.344 0.156 0.250  0.01
17 Tl 0.344 0.156 0.750  0.01
18 Tl 0.156 0.656 0.250  0.01
19 Tl 0.656 0.844 0.750  0.01
20 Tl 0.844 0.344 0.750  0.01
21 Ti 0.000 0.000 0.500  1.49
22 Ti 0.500 0.500 0.000  1.49

Properties
- E_form (uncorrected): -1103 meV per atom
- Calculated volume: 30.79 Å³ per atom
- Total DFT energy (no corrections): -3.69 eV per atom